Here is crystalline TaNi2As at its relaxed geometry from the Alexandria database. Energies are from PBE-GGA.

abc: 5.1794 7.4233 2.9530
angles: 90.00 90.00 90.00
Closest atoms and distances in Å follow each position.
Space group Cmmm (No. 65)
One atom of each set of equivalent atoms:
Ta 0.0000 0.0000 0.0000  2 As 2.59, 8 Ni 2.70
Ni 0.2500 0.2500 0.5000  2 Ni 2.59, 4 Ta 2.70, 4 As 2.70
As 0.0000 0.5000 0.0000  2 Ta 2.59, 8 Ni 2.70

The energy is -56.5 eV/cell. The formation enthalpy at 0 K comes out at -52 meV per atom.

***

Here is crystalline Ta2NiAs at its relaxed geometry from the Alexandria database. Energies are from PBE-GGA.

abc: 3.6822 4.6854 7.4123
angles: 90.00 90.00 90.00
Closest atoms and distances in Å follow each position.
Space group Cmm2 (No. 35)
One atom of each set of equivalent atoms:
Ta 0.0000 0.0000 0.0000  2 Ni 2.58, 2 Ta 2.86
Ta 0.0000 0.5000 0.2949  2 As 2.67, 6 Ta 2.86-2.98
Ni 0.0000 0.5000 0.7560  2 As 2.37, 2 Ta 2.58
As 0.0000 0.0000 0.5552  2 Ni 2.37

The energy is -69.0 eV/cell. The formation enthalpy at 0 K comes out at -89 meV per atom.

***

Here is crystalline TaNi2As at its relaxed geometry from the Alexandria database. Energies are from PBE-GGA.

abc: 3.7131 3.7131 17.2791
angles: 90.00 90.00 90.00
Closest atoms and distances in Å follow each position.
Space group I-42d (No. 122)
One atom of each set of equivalent atoms:
Ta 0.0000 0.0000 0.0000  4 Ni 2.55, 4 As 2.63
Ni 0.2369 0.2500 0.6250  2 As 2.51, 2 Ta 2.55, 4 Ni 2.56-2.70
As 0.0000 0.0000 0.5000  4 Ni 2.51, 4 Ta 2.63

The energy is -111.2 eV/cell. The formation enthalpy at 0 K comes out at 65 meV per atom.

***

Here is crystalline TaNi7As2 at its relaxed geometry from the Alexandria database. Energies are from PBE-GGA.

abc: 3.7151 3.7151 19.1329
angles: 90.00 90.00 90.00
Closest atoms and distances in Å follow each position.
Space group I4/mmm (No. 139)
One atom of each set of equivalent atoms:
Ta 0.0000 0.0000 0.0000  12 Ni 2.59-2.63
Ni 0.0000 0.0000 0.5000  8 Ni 2.59, 4 Ta 2.63
Ni 0.0000 0.5000 0.0944  2 As 2.40, 6 Ni 2.59-2.63, 2 Ta 2.59
Ni 0.0000 0.5000 0.2500  4 As 2.36, 4 Ni 2.63
As 0.0000 0.0000 0.3259  8 Ni 2.36-2.40

The energy is -128.2 eV/cell. The formation enthalpy at 0 K comes out at -246 meV per atom.

***

Here is crystalline Ta2NiAs at its relaxed geometry from the Alexandria database. Energies are from PBE-GGA.

abc: 3.2772 3.2772 5.8313
angles: 90.00 90.00 90.00
Closest atoms and distances in Å follow each position.
Space group P4/mmm (No. 123)
One atom of each set of equivalent atoms:
Ta 0.0000 0.0000 0.2470  4 Ni 2.73, 4 As 2.75, 2 Ta 2.88-2.95
Ni 0.5000 0.5000 0.0000  8 Ta 2.73, 2 As 2.92
As 0.5000 0.5000 0.5000  8 Ta 2.75, 2 Ni 2.92

The energy is -34.5 eV/cell. The formation enthalpy at 0 K comes out at -80 meV per atom.

***

Here is crystalline TaNi2TeAs at its relaxed geometry from the Alexandria database. Energies are from PBE-GGA.

abc: 4.2630 4.2630 5.5226
angles: 90.00 90.00 90.00
Closest atoms and distances in Å follow each position.
Space group P4/mmm (No. 123)
One atom of each set of equivalent atoms:
Ta 0.0000 0.0000 0.0000  4 Te 3.01
Ni 0.0000 0.5000 0.5000  2 As 2.13
Te 0.5000 0.5000 0.0000  2 As 2.76, 4 Ta 3.01
As 0.5000 0.5000 0.5000  4 Ni 2.13

As for the uncorrected formation energy: 933 meV/atom. The energy is -26.5 eV/cell.

***

Here is crystalline YTaNiAs2 at its relaxed geometry from the Alexandria database. Energies are from PBE-GGA.

abc: 4.6075 4.6075 4.7953
angles: 90.00 90.00 90.00
Closest atoms and distances in Å follow each position.
Space group P4/mmm (No. 123)
One atom of each set of equivalent atoms:
Y 0.0000 0.0000 0.0000  2 Ni 2.40
Ta 0.5000 0.5000 0.0000  4 Y 3.26, 8 As 3.33
Ni 0.0000 0.0000 0.5000  4 As 2.30, 2 Y 2.40
As 0.0000 0.5000 0.5000  2 Ni 2.30

The energy is -31.0 eV/cell. The formation enthalpy at 0 K comes out at 477 meV per atom.

***

Here is crystalline TbNi5As2 at its relaxed geometry from the Alexandria database. Energies are from PBE-GGA.

abc: 3.7721 6.6316 9.1114
angles: 90.00 90.00 90.00
Closest atoms and distances in Å follow each position.
Space group Immm (No. 71)
One atom of each set of equivalent atoms:
Tb 0.0000 0.0000 0.0000  4 As 2.96, 8 Ni 3.09
Ni 0.0000 0.1868 0.3582  3 As 2.30-2.46, 1 Ni 2.48
Ni 0.0000 0.5000 0.0000  2 As 2.28
As 0.0000 0.5000 0.2499  7 Ni 2.28-2.46

The energy is -93.7 eV/cell. The formation enthalpy at 0 K comes out at -499 meV per atom.